# 1
A plane-wave DFT calculation with PBE was carried out for crystalline KBaBiBr6 at its relaxed geometry.

a = 7.9999 Å, b = 7.9999 Å, c = 14.0280 Å
α = 90.00°, β = 90.00°, γ = 120.00°
Last column: nearest neighbours and their distance in Å.
Space group P-31c (No. 163)
One atom of each set of equivalent atoms:
K1 0.0000 0.0000 0.0000 [2 per cell]  6 Br 3.42
Ba1 0.3333 0.6667 0.2500 [2 per cell]  6 Br 3.25
Bi1 0.3333 0.6667 0.7500 [2 per cell]  6 Br 2.89
Br1 0.0347 0.3765 0.6306 [12 per cell]  1 Bi 2.89

## Properties
- Fermi-level density of states: 0.00 states/eV/cell
- DFT total energy: -3.33 eV per atom
- Raw formation energy: -1.45 eV per atom
- V: 43.2 Å³/atom

# 2
A plane-wave DFT calculation with PBE was carried out for crystalline RbSc2Te2 at its relaxed geometry.

a = 4.5591 Å, b = 4.5591 Å, c = 16.0201 Å
α = 90.00°, β = 90.00°, γ = 90.00°
Last column: nearest neighbours and their distance in Å.
Space group I4/mmm (No. 139)
One atom of each set of equivalent atoms:
Rb1 0.0000 0.0000 0.0000 [2 per cell]  8 Te 3.86
Sc1 0.0000 0.5000 0.2500 [4 per cell]  4 Te 2.95, 4 Sc 3.22
Te1 0.0000 0.0000 0.3671 [4 per cell]  4 Sc 2.95

## Properties
- Fermi-level density of states: 5.74 states/eV/cell
- DFT total energy: -4.88 eV per atom
- Raw formation energy: -0.90 eV per atom
- Polymorph energy (0 for the lowest one): 0.000 eV/atom
- V: 33.3 Å³/atom

# 3
A plane-wave DFT calculation with PBE was carried out for crystalline NpPaSn2 at its relaxed geometry.

a = 3.3268 Å, b = 3.3268 Å, c = 9.1703 Å
α = 90.00°, β = 90.00°, γ = 90.00°
Last column: nearest neighbours and their distance in Å.
Space group P4/mmm (No. 123)
One atom of each set of equivalent atoms:
Np1 0.0000 0.0000 0.0000 [1 per cell]  8 Sn 3.28, 4 Np 3.33
Pa1 0.0000 0.0000 0.5000 [1 per cell]  8 Sn 3.29, 4 Pa 3.33
Sn1 0.5000 0.5000 0.2496 [2 per cell]  4 Np 3.28, 4 Pa 3.29, 4 Sn 3.33

## Properties
- Fermi-level density of states: 9.89 states/eV/cell
- DFT total energy: -7.70 eV per atom
- Polymorph energy (0 for the lowest one): 0.000 eV/atom
- V: 25.4 Å³/atom

# 4
A plane-wave DFT calculation with PBE was carried out for crystalline Li2Ga4Cu at its relaxed geometry.

a = 7.6205 Å, b = 7.6205 Å, c = 7.7863 Å
α = 90.00°, β = 90.00°, γ = 90.00°
Last column: nearest neighbours and their distance in Å.
Space group I-42d (No. 122)
One atom of each set of equivalent atoms:
Li1 0.1075 0.7500 0.1250 [8 per cell]  8 Ga 2.58-2.73
Ga1 0.0861 0.6736 0.4674 [16 per cell]  4 Li 2.58-2.73, 2 Cu 2.58-2.65, 2 Ga 2.72-2.88
Cu1 0.0000 0.0000 0.5000 [4 per cell]  8 Ga 2.58-2.65

## Properties
- Fermi-level density of states: 7.46 states/eV/cell
- DFT total energy: -2.98 eV per atom
- Polymorph energy (0 for the lowest one): 0.000 eV/atom
- V: 16.1 Å³/atom

# 5
A plane-wave DFT calculation with PBE was carried out for crystalline MnBeRe2 at its relaxed geometry.

a = 2.9204 Å, b = 4.0409 Å, c = 8.3482 Å
α = 90.00°, β = 90.00°, γ = 90.00°
Last column: nearest neighbours and their distance in Å.
Space group Imm2 (No. 44)
One atom of each set of equivalent atoms:
Mn1 0.0000 0.0000 0.0000 [2 per cell]  2 Be 2.40, 6 Re 2.50-2.58
Be1 0.0000 0.5000 0.2718 [2 per cell]  2 Mn 2.40, 6 Re 2.50-2.57
Re1 0.0000 0.0000 0.5191 [2 per cell]  4 Mn 2.50, 2 Be 2.57, 2 Re 2.65
Re2 0.0000 0.5000 0.7546 [2 per cell]  4 Be 2.50, 2 Mn 2.58, 2 Re 2.65

## Properties
- Fermi-level density of states: 6.31 states/eV/cell
- DFT total energy: -9.44 eV per atom
- V: 12.3 Å³/atom

# 6
A plane-wave DFT calculation with PBE was carried out for crystalline CsFe2OsN at its relaxed geometry.

a = 3.8449 Å, b = 3.8449 Å, c = 5.5539 Å
α = 90.00°, β = 90.00°, γ = 90.00°
Last column: nearest neighbours and their distance in Å.
Space group P4/mmm (No. 123)
One atom of each set of equivalent atoms:
Cs1 0.0000 0.0000 0.0000 [1 per cell]  4 Os 2.72, 2 N 2.78
Fe1 0.0000 0.5000 0.5000 [2 per cell]  2 N 1.92
Os1 0.5000 0.5000 0.0000 [1 per cell]  4 Cs 2.72
N1 0.0000 0.0000 0.5000 [1 per cell]  4 Fe 1.92

## Properties
- Fermi-level density of states: 6.10 states/eV/cell
- DFT total energy: -5.95 eV per atom
- Raw formation energy: 1.52 eV per atom
- V: 16.4 Å³/atom

# 7
A plane-wave DFT calculation with PBE was carried out for crystalline FePIr2 at its relaxed geometry.

a = 2.8342 Å, b = 3.8928 Å, c = 5.1344 Å
α = 90.00°, β = 105.09°, γ = 90.00°
Last column: nearest neighbours and their distance in Å.
Space group P2/m (No. 10)
One atom of each set of equivalent atoms:
Fe1 0.0000 0.0000 0.0000 [1 per cell]  2 P 2.57, 8 Ir 2.70-2.77, 2 Fe 2.83
P1 0.0000 0.0000 0.5000 [1 per cell]  4 Ir 2.38, 2 Fe 2.57
Ir1 0.3561 0.5000 0.7385 [2 per cell]  2 P 2.38, 1 Ir 2.60

## Properties
- Fermi-level density of states: 2.98 states/eV/cell
- DFT total energy: -7.96 eV per atom
- V: 13.7 Å³/atom

# 8
A plane-wave DFT calculation with PBE was carried out for crystalline La2Ho3Hg2 at its relaxed geometry.

a = 12.0938 Å, b = 4.8344 Å, c = 8.2971 Å
α = 90.00°, β = 115.81°, γ = 90.00°
Last column: nearest neighbours and their distance in Å.
Space group C2/m (No. 12)
One atom of each set of equivalent atoms:
La1 0.1357 0.0000 0.2889 [4 per cell]  4 Hg 3.38-3.55, 4 Ho 3.64-3.76
Ho1 0.0000 0.5000 0.5000 [2 per cell]  4 Hg 3.04
Ho2 0.1300 0.5000 0.9576 [4 per cell]  3 Hg 2.93-3.27
Hg1 0.1465 0.0000 0.7031 [4 per cell]  5 Ho 2.93-3.27

## Properties
- Fermi-level density of states: 18.98 states/eV/cell
- DFT total energy: -3.67 eV per atom
- V: 31.2 Å³/atom

# 9
A plane-wave DFT calculation with PBE was carried out for crystalline HgAsIr2 at its relaxed geometry.

a = 6.0960 Å, b = 7.1213 Å, c = 3.0681 Å
α = 90.00°, β = 90.00°, γ = 90.00°
Last column: nearest neighbours and their distance in Å.
Space group Cmmm (No. 65)
One atom of each set of equivalent atoms:
Hg1 0.0000 0.0000 0.0000 [2 per cell]  8 Ir 2.80, 2 As 3.05, 2 Hg 3.07
As1 0.0000 0.5000 0.0000 [2 per cell]  8 Ir 2.80, 2 Hg 3.05, 2 As 3.07
Ir1 0.2500 0.2500 0.5000 [4 per cell]  4 Hg 2.80, 4 As 2.80, 4 Ir 3.05-3.07

## Properties
- Fermi-level density of states: 8.54 states/eV/cell
- DFT total energy: -5.14 eV per atom
- Polymorph energy (0 for the lowest one): 0.294 eV/atom
- V: 16.6 Å³/atom

# 10
A plane-wave DFT calculation with PBE was carried out for crystalline CdSi2Rh at its relaxed geometry.

a = 5.4334 Å, b = 7.5914 Å, c = 3.0765 Å
α = 90.00°, β = 90.00°, γ = 90.00°
Last column: nearest neighbours and their distance in Å.
Space group Cmmm (No. 65)
One atom of each set of equivalent atoms:
Cd1 0.0000 0.0000 0.0000 [2 per cell]  2 Rh 2.72, 8 Si 2.80
Si1 0.2500 0.2500 0.5000 [4 per cell]  2 Si 2.72, 4 Cd 2.80, 4 Rh 2.80
Rh1 0.0000 0.5000 0.0000 [2 per cell]  2 Cd 2.72, 8 Si 2.80

## Properties
- Fermi-level density of states: 3.91 states/eV/cell
- DFT total energy: -4.58 eV per atom
- Raw formation energy: 0.20 eV per atom
- V: 15.9 Å³/atom

# 11
A plane-wave DFT calculation with PBE was carried out for crystalline TbPuBi2 at its relaxed geometry.

a = 4.5177 Å, b = 4.5177 Å, c = 22.1162 Å
α = 90.00°, β = 90.00°, γ = 120.00°
Last column: nearest neighbours and their distance in Å.
Space group R-3m (No. 166, hexagonal axes)
One atom of each set of equivalent atoms:
Tb1 0.0000 0.0000 0.0000 [3 per cell]  6 Bi 3.19
Pu1 0.0000 0.0000 0.5000 [3 per cell]  6 Bi 3.20
Bi1 0.0000 0.0000 0.2505 [6 per cell]  3 Tb 3.19, 3 Pu 3.20

## Properties
- Fermi-level density of states: 45.50 states/eV/cell
- DFT total energy: -7.28 eV per atom
- Polymorph energy (0 for the lowest one): 0.000 eV/atom
- V: 32.6 Å³/atom

# 12
A plane-wave DFT calculation with PBE was carried out for crystalline Pr2ZnFe2Rh5 at its relaxed geometry.

a = 9.6193 Å, b = 9.6193 Å, c = 3.7469 Å
α = 90.00°, β = 90.00°, γ = 90.00°
Last column: nearest neighbours and their distance in Å.
Space group P4/mbm (No. 127)
One atom of each set of equivalent atoms:
Pr1 0.1812 0.3188 0.0000 [4 per cell]  3 Fe 2.74-2.94
Zn1 0.0000 0.0000 0.0000 [2 per cell]  8 Rh 2.80
Fe1 0.1177 0.6177 0.0000 [4 per cell]  6 Rh 2.46-2.58, 1 Pr 2.74
Rh1 0.0000 0.5000 0.5000 [2 per cell]  4 Fe 2.46
Rh2 0.0617 0.7932 0.5000 [8 per cell]  2 Fe 2.58, 2 Zn 2.80, 1 Rh 2.88

## Properties
- Fermi-level density of states: 17.30 states/eV/cell
- DFT total energy: -6.72 eV per atom
- V: 17.3 Å³/atom